GGA-PBE Li2Ag2Pd4N, relaxed; formation energy without anion corrections = -115 meV per atom
1.0
-4.5136 2.0953 2.8351
0.2784 -5.5604 -1.3436
5.0954 -0.4798 2.5705
Pd Ag N Li
4 2 1 2
Direct
0.4893 0.7447 0.7447 Pd
0.5107 0.2553 0.2553 Pd
0.0000 0.2553 0.7447 Pd
0.0000 0.7447 0.2553 Pd
0.5000 0.7500 0.2500 Ag
0.5000 0.2500 0.7500 Ag
0.0000 0.0000 0.0000 N
0.0000 0.2564 0.2564 Li
0.0000 0.7436 0.7436 Li

***

GGA-PBE RbLaTiAg2, relaxed; E_form = 1.35 eV per atom
1.0
-1.8027 -0.5211 -5.2069
1.3732 -5.9527 0.1203
-5.0829 -1.1347 1.8733
La Rb Ag Ti
1 1 2 1
Direct
0.0000 0.0000 0.0000 La
0.0000 0.5000 0.0000 Rb
0.0000 0.0000 0.5000 Ag
0.5000 0.0000 0.0000 Ag
0.5000 0.5000 0.5000 Ti

***

| no. | total moment (Bohr magnetons per cell) |
| --- | --- |
| 1 | 0.0 |
| 2 | 2.8 |